Here is NdTm2Ga2 after structural relaxation from OQMD. Energies are from PBE.

```
data_NdTm2Ga2
_chemical_formula_sum 'Nd2 Tm4 Ga4'
_cell_length_a 7.656
_cell_length_b 7.656
_cell_length_c 4.316
_cell_angle_alpha 90.00
_cell_angle_beta 90.00
_cell_angle_gamma 90.00
_symmetry_space_group_name_H-M 'P 4/m b m'
_symmetry_Int_Tables_number 127
_symmetry_space_group_name_Hall '-P 4 2ab'
loop_
_atom_site_label
_atom_site_fract_x
_atom_site_fract_y
_atom_site_fract_z
Nd1 0.000 0.000 0.000
Tm1 0.174 0.326 0.500
Ga1 0.119 0.619 0.000
```

Here is HgB after structural relaxation from OQMD. Energies are from PBE.

```
data_HgB
_chemical_formula_sum 'Hg4 B4'
_cell_length_a 4.982
_cell_length_b 4.982
_cell_length_c 4.982
_cell_angle_alpha 90.00
_cell_angle_beta 90.00
_cell_angle_gamma 90.00
_symmetry_space_group_name_H-M 'F m -3 m'
_symmetry_Int_Tables_number 225
_symmetry_space_group_name_Hall '-F 4 2 3'
loop_
_atom_site_label
_atom_site_fract_x
_atom_site_fract_y
_atom_site_fract_z
Hg1 0.000 0.000 0.000
B1 0.000 0.000 0.500
```

Results
ΔE to the lowest computed polymorph in meV per atom: 11

Here is CsKHo after structural relaxation from OQMD. Energies are from PBE.

```
data_CsKHo
_chemical_formula_sum 'Cs4 K4 Ho4'
_cell_length_a 9.469
_cell_length_b 9.469
_cell_length_c 9.469
_cell_angle_alpha 90.00
_cell_angle_beta 90.00
_cell_angle_gamma 90.00
_symmetry_space_group_name_H-M 'F -4 3 m'
_symmetry_Int_Tables_number 216
_symmetry_space_group_name_Hall 'F -4 2 3'
loop_
_atom_site_label
_atom_site_fract_x
_atom_site_fract_y
_atom_site_fract_z
Cs1 0.000 0.000 0.000
K1 0.250 0.250 0.250
Ho1 0.250 0.250 0.750
```

Here is Cd2Ge3B2 after structural relaxation from OQMD. Energies are from PBE.

```
data_Cd2Ge3B2
_chemical_formula_sum 'Cd6 Ge9 B6'
_cell_length_a 4.0368
_cell_length_b 4.0368
_cell_length_c 26.1656
_cell_angle_alpha 90.00
_cell_angle_beta 90.00
_cell_angle_gamma 120.00
_symmetry_space_group_name_H-M 'R 3 m'
_symmetry_Int_Tables_number 160
_symmetry_space_group_name_Hall 'R 3 -2"'
loop_
_atom_site_label
_atom_site_fract_x
_atom_site_fract_y
_atom_site_fract_z
Cd1 0.0000 0.0000 0.0000
Cd2 0.0000 0.0000 0.4014
Ge1 0.0000 0.0000 0.2681
Ge2 0.0000 0.0000 0.5450
Ge3 0.0000 0.0000 0.8115
B1 0.0000 0.0000 0.1834
B2 0.0000 0.0000 0.7312
```

Here is TaAl2Au2 after structural relaxation from OQMD. Energies are from PBE.

```
data_TaAl2Au2
_chemical_formula_sum 'Ta2 Al4 Au4'
_cell_length_a 3.915
_cell_length_b 3.915
_cell_length_c 11.455
_cell_angle_alpha 90.00
_cell_angle_beta 90.00
_cell_angle_gamma 90.00
_symmetry_space_group_name_H-M 'I 4/m m m'
_symmetry_Int_Tables_number 139
_symmetry_space_group_name_Hall '-I 4 2'
loop_
_atom_site_label
_atom_site_fract_x
_atom_site_fract_y
_atom_site_fract_z
Ta1 0.000 0.000 0.000
Al1 0.000 0.000 0.396
Au1 0.000 0.500 0.250
```

Here is Li4Tl2IrPt after structural relaxation from OQMD. Energies are from PBE.

```
data_Li4Tl2IrPt
_chemical_formula_sum 'Li4 Tl2 Ir1 Pt1'
_cell_length_a 4.522
_cell_length_b 4.522
_cell_length_c 6.407
_cell_angle_alpha 90.00
_cell_angle_beta 90.00
_cell_angle_gamma 90.00
_symmetry_space_group_name_H-M 'P -4 m 2'
_symmetry_Int_Tables_number 115
loop_
_symmetry_equiv_pos_as_xyz
'x,y,z'
'y,-x,-z'
'-x,-y,z'
'-y,x,-z'
'-x,y,z'
'-y,-x,-z'
'x,-y,z'
'y,x,-z'
loop_
_atom_site_label
_atom_site_fract_x
_atom_site_fract_y
_atom_site_fract_z
Li1 0.000 0.000 0.000
Li2 0.000 0.500 0.250
Li3 0.500 0.500 0.500
Tl1 0.000 0.500 0.744
Ir1 0.000 0.000 0.500
Pt1 0.500 0.500 0.000
```

| no. | calculated total energy (eV/atom) |
| --- | --- |
| 1 | -4.406 |
| 2 | -2.008 |
| 3 | -1.080 |
| 4 | -3.450 |
| 5 | -5.139 |
| 6 | -3.667 |